The following is a GGA-PBE calculation of a relaxed RbMnTe3 crystal, from the Alexandria database.

Results
E_form (uncorrected)   0.0399 eV per atom
Crystal system   cubic
Size of the total moment   0.0 μB per cell
Total energy   -3.87 eV/atom
N(E_F)   9.483 states/eV per cell

a b c (Å): 5.2657 5.2657 5.2657
angles (deg): 90.00 90.00 90.00
Element x y z (fractional)
Rb (0.5000, 0.5000, 0.5000)
Te (0.0000, 0.0000, 0.5000)
Te (0.0000, 0.5000, 0.0000)
Te (0.5000, 0.0000, 0.0000)
Mn (0.0000, 0.0000, 0.0000)



The following is a GGA-PBE calculation of a relaxed InSi2Te crystal, from the Alexandria database.

Results
E_form (uncorrected)   0.2222 eV per atom
Crystal system   orthorhombic
Size of the total moment   0.0 μB per cell
Total energy   -3.96 eV/atom
N(E_F)   1.406 states/eV per cell

a b c (Å): 3.8207 5.1980 5.2003
angles (deg): 63.19 90.00 90.00
Element x y z (fractional)
In (0.5000, 0.7780, 0.7777)
Si (0.0000, 0.0381, 0.0391)
Si (0.5000, 0.2108, 0.2103)
Te (0.0000, 0.4731, 0.4729)



The following is a GGA-PBE calculation of a relaxed NdHo8Er3 crystal, from the Alexandria database.

Results
Crystal system   orthorhombic
Size of the total moment   0.0 μB per cell
Total energy   -4.58 eV/atom
N(E_F)   21.738 states/eV per cell

a b c (Å): 8.3966 8.4018 8.3966
angles (deg): 96.20 136.30 99.72
Element x y z (fractional)
Ho (0.8321, 0.5811, 0.7471)
Ho (0.8354, 0.1678, 0.6676)
Ho (0.8320, 0.6654, 0.1667)
Ho (0.8327, 0.0849, 0.2512)
Ho (0.5013, 0.3346, 0.1665)
Ho (0.1663, 0.9151, 0.7478)
Ho (0.4998, 0.8322, 0.6676)
Ho (0.1660, 0.4189, 0.2510)
Er (0.4999, 0.7487, 0.2486)
Er (0.1677, 0.5000, 0.6677)
Er (0.5000, 0.2513, 0.7513)
Nd (0.1667, 0.0000, 0.1667)



What did the third record say?
The following is a GGA-PBE calculation of a relaxed NdHo8Er3 crystal, from the Alexandria database.

Results
Crystal system   orthorhombic
Size of the total moment   0.0 μB per cell
Total energy   -4.58 eV/atom
N(E_F)   21.738 states/eV per cell

a b c (Å): 8.3966 8.4018 8.3966
angles (deg): 96.20 136.30 99.72
Element x y z (fractional)
Ho (0.8321, 0.5811, 0.7471)
Ho (0.8354, 0.1678, 0.6676)
Ho (0.8320, 0.6654, 0.1667)
Ho (0.8327, 0.0849, 0.2512)
Ho (0.5013, 0.3346, 0.1665)
Ho (0.1663, 0.9151, 0.7478)
Ho (0.4998, 0.8322, 0.6676)
Ho (0.1660, 0.4189, 0.2510)
Er (0.4999, 0.7487, 0.2486)
Er (0.1677, 0.5000, 0.6677)
Er (0.5000, 0.2513, 0.7513)
Nd (0.1667, 0.0000, 0.1667)



What is the N(E_F) in the second record?
1.406 states/eV per cell



The lowest N(E_F) belongs to which entry?
InSi2Te